! PBE Cs2KHgCl6, relaxed; values from VASP
&SYSTEM
  ibrav = 0, nat = 10, ntyp = 4
/
ATOMIC_SPECIES
Cs 132.91 Cs.upf
K 39.10 K.upf
Hg 200.59 Hg.upf
Cl 35.45 Cl.upf
ATOMIC_POSITIONS crystal
Cs 0.750 0.250 0.500
Cs 0.250 0.750 0.500
K 0.500 0.500 0.000
Hg 0.000 0.000 0.000
Cl 0.233 0.233 0.535
Cl 0.767 0.767 0.465
Cl 0.233 0.233 0.000
Cl 0.767 0.767 0.000
Cl 0.767 0.233 0.000
Cl 0.233 0.767 0.000
CELL_PARAMETERS angstrom
-4.765 -5.193 3.673
-2.616 -2.583 -7.046
0.403 -7.725 -1.800
! - Offset from the most stable computed form: 8 meV/atom
! - Raw formation energy: -1.31 eV per atom
! - Symmetry: No. 139
! - Crystal system: tetragonal


! PBE PmDy2Ho9, relaxed; values from VASP
&SYSTEM
  ibrav = 0, nat = 12, ntyp = 3
/
ATOMIC_SPECIES
Pm 145.00 Pm.upf
Dy 162.50 Dy.upf
Ho 164.93 Ho.upf
ATOMIC_POSITIONS crystal
Pm 0.000 0.000 0.000
Dy 0.000 0.000 0.334
Dy 0.000 0.000 0.666
Ho 0.500 0.500 0.000
Ho 0.500 0.500 0.335
Ho 0.500 0.500 0.665
Ho 0.500 0.000 0.168
Ho 0.500 0.000 0.500
Ho 0.500 0.000 0.832
Ho 0.000 0.500 0.168
Ho 0.000 0.500 0.500
Ho 0.000 0.500 0.832
CELL_PARAMETERS angstrom
5.003 0.000 0.000
0.000 5.003 0.000
0.000 0.000 15.011
! - Offset from the most stable computed form: 0 meV/atom
! - ΔH_f (0 K): 0.02 eV per atom
! - Symmetry: No. 123
! - Crystal system: tetragonal


! PBE Li2Al2Au3, relaxed; values from VASP
&SYSTEM
  ibrav = 0, nat = 7, ntyp = 3
/
ATOMIC_SPECIES
Li 6.94 Li.upf
Al 26.98 Al.upf
Au 196.97 Au.upf
ATOMIC_POSITIONS crystal
Li 0.762 0.381 0.137
Li 0.238 0.619 0.863
Al 0.257 0.125 0.375
Al 0.743 0.875 0.625
Au 0.000 0.000 0.000
Au 0.484 0.244 0.739
Au 0.516 0.756 0.261
CELL_PARAMETERS angstrom
4.236 -0.017 -1.192
-2.285 3.832 0.045
-0.242 -0.058 7.365
! - Offset from the most stable computed form: 0 meV/atom
! - ΔH_f (0 K): -0.50 eV per atom
! - Symmetry: No. 2
! - Crystal system: triclinic


! PBE Bi5Pd6Pb, relaxed; values from VASP
&SYSTEM
  ibrav = 0, nat = 12, ntyp = 3
/
ATOMIC_SPECIES
Bi 208.98 Bi.upf
Pd 106.42 Pd.upf
Pb 207.20 Pb.upf
ATOMIC_POSITIONS crystal
Bi 0.500 0.143 0.715
Bi 0.000 0.315 0.369
Bi 0.500 0.500 0.000
Bi 0.000 0.685 0.631
Bi 0.500 0.857 0.285
Pd 0.663 0.116 0.351
Pd 0.337 0.533 0.351
Pd 0.144 0.300 0.000
Pd 0.856 0.700 0.000
Pd 0.663 0.467 0.649
Pd 0.337 0.884 0.649
Pb 0.000 0.000 0.000
CELL_PARAMETERS angstrom
-2.695 -0.107 -4.727
0.096 -6.784 -4.413
-5.638 -5.614 1.086
! - ΔH_f (0 K): -0.20 eV per atom
! - Symmetry: No. 12
! - Crystal system: monoclinic


! PBE Tc2AsP2, relaxed; values from VASP
&SYSTEM
  ibrav = 0, nat = 10, ntyp = 3
/
ATOMIC_SPECIES
P 30.97 P.upf
As 74.92 As.upf
Tc 98.00 Tc.upf
ATOMIC_POSITIONS crystal
P 0.136 0.636 0.500
P 0.636 0.864 0.500
P 0.864 0.364 0.500
P 0.364 0.136 0.500
As 0.000 0.000 0.000
As 0.500 0.500 0.000
Tc 0.350 0.850 0.000
Tc 0.850 0.650 0.000
Tc 0.650 0.150 0.000
Tc 0.150 0.350 0.000
CELL_PARAMETERS angstrom
7.034 0.000 0.000
0.000 7.034 0.000
0.000 0.000 2.937
! - Offset from the most stable computed form: 0 meV/atom
! - ΔH_f (0 K): -0.12 eV per atom
! - Symmetry: No. 127
! - Crystal system: tetragonal


! PBE Tb2CeGa6, relaxed; values from VASP
&SYSTEM
  ibrav = 0, nat = 9, ntyp = 3
/
ATOMIC_SPECIES
Tb 158.93 Tb.upf
Ce 140.12 Ce.upf
Ga 69.72 Ga.upf
ATOMIC_POSITIONS crystal
Tb 0.874 0.874 0.747
Tb 0.126 0.126 0.253
Ce 0.000 0.500 0.000
Ga 0.684 0.879 0.368
Ga 0.316 0.121 0.632
Ga 0.316 0.511 0.632
Ga 0.500 0.183 0.000
Ga 0.500 0.817 0.000
Ga 0.684 0.489 0.368
CELL_PARAMETERS angstrom
-1.475 -3.035 2.743
-1.889 -4.109 -5.562
7.635 0.742 1.479
! - Offset from the most stable computed form: 181 meV/atom
! - ΔH_f (0 K): -0.45 eV per atom
! - Symmetry: No. 71
! - Crystal system: orthorhombic


! PBE CeLuC, relaxed; values from VASP
&SYSTEM
  ibrav = 0, nat = 3, ntyp = 3
/
ATOMIC_SPECIES
C 12.01 C.upf
Lu 174.97 Lu.upf
Ce 140.12 Ce.upf
ATOMIC_POSITIONS crystal
C 0.327 0.667 0.333
Lu 0.119 0.000 0.000
Ce 0.554 0.333 0.667
CELL_PARAMETERS angstrom
-3.733 4.560 2.267
-2.278 -2.413 1.104
2.580 1.064 2.108
! - Offset from the most stable computed form: 0 meV/atom
! - ΔH_f (0 K): -0.22 eV per atom
! - Symmetry: No. 156
! - Crystal system: trigonal


! PBE SiSbSe4, relaxed; values from VASP
&SYSTEM
  ibrav = 0, nat = 12, ntyp = 3
/
ATOMIC_SPECIES
Si 28.09 Si.upf
Sb 121.76 Sb.upf
Se 78.96 Se.upf
ATOMIC_POSITIONS crystal
Si 0.000 0.500 0.000
Si 0.000 0.000 0.500
Sb 0.000 0.000 0.000
Sb 0.500 0.000 0.500
Se 0.200 0.306 0.158
Se 0.200 0.694 0.842
Se 0.800 0.306 0.842
Se 0.800 0.694 0.158
Se 0.789 0.815 0.666
Se 0.789 0.185 0.334
Se 0.211 0.815 0.334
Se 0.211 0.185 0.666
CELL_PARAMETERS angstrom
-2.910 -5.735 1.189
0.360 -1.628 -6.971
7.203 -3.412 1.169
! - Offset from the most stable computed form: 0 meV/atom
! - Raw formation energy: -0.22 eV per atom
! - Symmetry: No. 16
! - Crystal system: orthorhombic


! PBE CrTcB2Cl, relaxed; values from VASP
&SYSTEM
  ibrav = 0, nat = 5, ntyp = 4
/
ATOMIC_SPECIES
Cr 52.00 Cr.upf
B 10.81 B.upf
Tc 98.00 Tc.upf
Cl 35.45 Cl.upf
ATOMIC_POSITIONS crystal
Cr 0.000 0.500 0.000
B 0.000 0.000 0.500
B 0.500 0.000 0.000
Tc 0.500 0.500 0.500
Cl 0.000 0.000 0.000
CELL_PARAMETERS angstrom
-1.125 2.451 -2.781
-3.845 -0.977 0.695
-0.252 2.849 2.613
! - Raw formation energy: 2.06 eV per atom
! - Symmetry: No. 123
! - Crystal system: tetragonal


! PBE CsLaO2, relaxed; values from VASP
&SYSTEM
  ibrav = 0, nat = 4, ntyp = 3
/
ATOMIC_SPECIES
Cs 132.91 Cs.upf
O 16.00 O.upf
La 138.91 La.upf
ATOMIC_POSITIONS crystal
Cs 0.000 0.000 0.000
O 0.250 0.250 0.250
O 0.750 0.750 0.750
La 0.500 0.500 0.500
CELL_PARAMETERS angstrom
0.000 3.288 3.288
3.288 0.000 3.288
3.288 3.288 0.000
! - Raw formation energy: -1.75 eV per atom
! - Symmetry: No. 225
! - Crystal system: cubic


! PBE LiErHg, relaxed; values from VASP
&SYSTEM
  ibrav = 0, nat = 3, ntyp = 3
/
ATOMIC_SPECIES
Li 6.94 Li.upf
Hg 200.59 Hg.upf
Er 167.26 Er.upf
ATOMIC_POSITIONS crystal
Li 0.167 0.000 0.000
Hg 0.166 0.333 0.667
Er 0.667 0.667 0.333
CELL_PARAMETERS angstrom
-1.115 -1.376 2.901
4.497 -0.909 1.297
-2.031 4.147 1.187
! - Offset from the most stable computed form: 73 meV/atom
! - ΔH_f (0 K): -0.28 eV per atom
! - Symmetry: No. 187
! - Crystal system: hexagonal


! PBE ZrIn2Hg, relaxed; values from VASP
&SYSTEM
  ibrav = 0, nat = 4, ntyp = 3
/
ATOMIC_SPECIES
Hg 200.59 Hg.upf
In 114.82 In.upf
Zr 91.22 Zr.upf
ATOMIC_POSITIONS crystal
Hg 0.500 0.500 0.745
In 0.000 0.000 0.992
In 0.500 0.500 0.257
Zr 0.000 0.000 0.506
CELL_PARAMETERS angstrom
-3.502 0.458 -0.467
-0.181 -3.122 -1.706
-1.306 -3.435 6.422
! - ΔH_f (0 K): -0.04 eV per atom
! - Symmetry: No. 99
! - Crystal system: tetragonal


! PBE Li5H5Ru, relaxed; values from VASP
&SYSTEM
  ibrav = 0, nat = 11, ntyp = 3
/
ATOMIC_SPECIES
Li 6.94 Li.upf
H 1.01 H.upf
Ru 101.07 Ru.upf
ATOMIC_POSITIONS crystal
Li 0.657 0.313 0.293
Li 0.675 0.350 0.845
Li 0.000 0.000 0.500
Li 0.325 0.650 0.155
Li 0.343 0.687 0.707
H 0.855 0.710 0.168
H 0.864 0.727 0.728
H 0.500 0.000 0.000
H 0.136 0.273 0.272
H 0.145 0.290 0.832
Ru 0.000 0.000 0.000
CELL_PARAMETERS angstrom
3.910 0.000 0.000
-1.955 4.445 0.205
0.000 -1.418 5.521
! - Symmetry: No. 12
! - DFT total energy: -3.545 eV per atom
! - Crystal system: monoclinic


! PBE TbY6Er5, relaxed; values from VASP
&SYSTEM
  ibrav = 0, nat = 12, ntyp = 3
/
ATOMIC_SPECIES
Tb 158.93 Tb.upf
Y 88.91 Y.upf
Er 167.26 Er.upf
ATOMIC_POSITIONS crystal
Tb 0.000 0.000 0.000
Y 0.251 0.420 0.334
Y 0.749 0.246 0.334
Y 0.749 0.913 0.000
Y 0.251 0.087 0.000
Y 0.251 0.754 0.666
Y 0.749 0.580 0.666
Er 0.500 0.167 0.666
Er 0.000 0.333 0.333
Er 0.500 0.500 0.000
Er 0.000 0.667 0.667
Er 0.500 0.833 0.334
CELL_PARAMETERS angstrom
12.735 0.109 0.000
2.718 5.485 0.000
1.359 2.743 5.367
! - Offset from the most stable computed form: 0 meV/atom
! - ΔH_f (0 K): 0.01 eV per atom
! - Symmetry: No. 12
! - Crystal system: monoclinic


! PBE Cs2NbSi, relaxed; values from VASP
&SYSTEM
  ibrav = 0, nat = 4, ntyp = 3
/
ATOMIC_SPECIES
Cs 132.91 Cs.upf
Nb 92.91 Nb.upf
Si 28.09 Si.upf
ATOMIC_POSITIONS crystal
Cs 0.250 0.250 0.250
Cs 0.750 0.750 0.750
Nb 0.500 0.500 0.500
Si 0.000 0.000 0.000
CELL_PARAMETERS angstrom
-5.975 1.228 -0.227
-2.938 -0.112 -5.350
-3.990 -4.462 -1.198
! - Offset from the most stable computed form: 656 meV/atom
! - Raw formation energy: 1.53 eV per atom
! - Symmetry: No. 225
! - Crystal system: cubic


! PBE Li2HgRu, relaxed; values from VASP
&SYSTEM
  ibrav = 0, nat = 4, ntyp = 3
/
ATOMIC_SPECIES
Hg 200.59 Hg.upf
Li 6.94 Li.upf
Ru 101.07 Ru.upf
ATOMIC_POSITIONS crystal
Hg 0.240 0.740 0.500
Li 0.995 0.995 0.000
Li 0.757 0.257 0.500
Ru 0.507 0.507 0.000
CELL_PARAMETERS angstrom
-1.156 4.019 3.199
-5.050 0.963 1.139
3.992 -3.429 0.179
! - ΔH_f (0 K): 0.16 eV per atom
! - Symmetry: No. 44
! - Crystal system: orthorhombic


! PBE CsNa2Hf3S8, relaxed; values from VASP
&SYSTEM
  ibrav = 0, nat = 14, ntyp = 4
/
ATOMIC_SPECIES
Cs 132.91 Cs.upf
Na 22.99 Na.upf
Hf 178.49 Hf.upf
S 32.06 S.upf
ATOMIC_POSITIONS crystal
Cs 0.856 0.856 0.433
Na 0.116 0.116 0.653
Na 0.500 0.500 0.500
Hf 0.500 0.003 0.996
Hf 0.003 0.500 0.996
Hf 0.500 0.500 0.996
S 0.272 0.272 0.184
S 0.725 0.725 0.825
S 0.248 0.248 0.805
S 0.698 0.248 0.805
S 0.248 0.698 0.805
S 0.758 0.310 0.174
S 0.310 0.758 0.174
S 0.758 0.758 0.174
CELL_PARAMETERS angstrom
-2.487 7.078 -1.127
-4.546 3.282 5.110
3.923 6.256 5.103
! - Raw formation energy: -1.30 eV per atom
! - Symmetry: No. 160
! - Crystal system: trigonal


! PBE Th3P2S3, relaxed; values from VASP
&SYSTEM
  ibrav = 0, nat = 16, ntyp = 3
/
ATOMIC_SPECIES
Th 232.04 Th.upf
P 30.97 P.upf
S 32.06 S.upf
ATOMIC_POSITIONS crystal
Th 0.750 0.632 0.000
Th 0.750 0.368 0.368
Th 0.750 0.000 0.632
Th 0.250 0.368 0.000
Th 0.250 0.632 0.632
Th 0.250 0.000 0.368
P 0.000 0.333 0.667
P 0.500 0.667 0.333
P 0.000 0.667 0.333
P 0.500 0.333 0.667
S 0.750 0.275 0.000
S 0.750 0.725 0.725
S 0.750 0.000 0.275
S 0.250 0.725 0.000
S 0.250 0.275 0.275
S 0.250 0.000 0.725
CELL_PARAMETERS angstrom
5.660 0.000 0.000
0.000 8.562 0.000
0.000 -4.281 7.415
! - Raw formation energy: -1.66 eV per atom
! - Symmetry: No. 193
! - Crystal system: hexagonal


! PBE BaSc3, relaxed; values from VASP
&SYSTEM
  ibrav = 0, nat = 4, ntyp = 2
/
ATOMIC_SPECIES
Ba 137.33 Ba.upf
Sc 44.96 Sc.upf
ATOMIC_POSITIONS crystal
Ba 0.000 0.000 0.000
Sc 0.500 0.500 0.316
Sc 0.000 0.000 0.500
Sc 0.500 0.500 0.684
CELL_PARAMETERS angstrom
3.839 0.000 0.000
0.000 3.839 0.000
0.000 0.000 8.658
! - Offset from the most stable computed form: 0 meV/atom
! - ΔH_f (0 K): 0.23 eV per atom
! - Symmetry: No. 123
! - Crystal system: tetragonal


! PBE GaPb2I6, relaxed; values from VASP
&SYSTEM
  ibrav = 0, nat = 18, ntyp = 3
/
ATOMIC_SPECIES
Ga 69.72 Ga.upf
Pb 207.20 Pb.upf
I 126.90 I.upf
ATOMIC_POSITIONS crystal
Ga 0.500 0.500 0.000
Ga 0.000 0.000 0.500
Pb 0.500 0.500 0.334
Pb 0.500 0.500 0.666
Pb 0.000 0.000 0.166
Pb 0.000 0.000 0.834
I 0.695 0.695 0.154
I 0.695 0.695 0.846
I 0.714 0.714 0.500
I 0.786 0.214 0.000
I 0.805 0.195 0.346
I 0.805 0.195 0.654
I 0.195 0.805 0.346
I 0.195 0.805 0.654
I 0.214 0.786 0.000
I 0.286 0.286 0.500
I 0.305 0.305 0.154
I 0.305 0.305 0.846
CELL_PARAMETERS angstrom
-1.551 4.451 -5.849
-7.256 0.021 1.941
2.172 11.264 7.996
! - Raw formation energy: -0.48 eV per atom
! - Symmetry: No. 136
! - Crystal system: tetragonal